(1)
{
  "formula": "LiMg2Ru",
  "functional": "PBE",
  "state": "relaxed",
  "lattice": [[4.934, -1.487, 0.000], [4.934, 1.487, 0.000], [-1.373, 0.000, 4.554]],
  "species": ["Li", "Mg", "Mg", "Ru"],
  "frac_coords": [[0.000, 0.000, 0.000], [0.241, 0.241, 0.815], [0.470, 0.470, 0.458], [0.728, 0.728, 0.310]],
  "dos_at_fermi_per_ev_cell": 2.2,
  "rho_g_cm3": 3.89,
  "spacegroup": "Cm, No. 8",
  "e_form_ev_per_atom": 0.048
}

***

(2)
{
  "formula": "MgPN2F",
  "functional": "PBE",
  "state": "relaxed",
  "lattice": [[4.172, 0.000, 0.000], [0.000, 4.172, 0.000], [0.000, 0.000, 3.610]],
  "species": ["Mg", "P", "N", "N", "F"],
  "frac_coords": [[0.000, 0.000, 0.000], [0.500, 0.500, 0.500], [0.000, 0.500, 0.000], [0.500, 0.000, 0.000], [0.000, 0.000, 0.500]],
  "raw_formation_energy_kj_per_mol_atoms": 70.5,
  "e_above_lowest_polymorph_mev_per_atom": 996,
  "dos_at_fermi_per_ev_cell": 1.5,
  "rho_g_cm3": 2.70,
  "spacegroup": "P4/mmm, No. 123"
}

***

(3)
{
  "formula": "SmHo3Ga2",
  "functional": "PBE",
  "state": "relaxed",
  "lattice": [[8.003, -2.541, 0.000], [8.003, 2.541, 0.000], [-4.104, 0.000, 7.837]],
  "species": ["Sm", "Sm", "Ho", "Ho", "Ho", "Ho", "Ho", "Ho", "Ga", "Ga", "Ga", "Ga"],
  "frac_coords": [[0.130, 0.130, 0.189], [0.870, 0.870, 0.811], [0.063, 0.063, 0.717], [0.312, 0.312, 0.008], [0.379, 0.379, 0.489], [0.621, 0.621, 0.511], [0.688, 0.688, 0.992], [0.937, 0.937, 0.283], [0.226, 0.226, 0.614], [0.487, 0.487, 0.849], [0.513, 0.513, 0.151], [0.774, 0.774, 0.386]],
  "e_above_lowest_polymorph_mev_per_atom": 89,
  "dos_at_fermi_per_ev_cell": 10.2,
  "rho_g_cm3": 8.17,
  "spacegroup": "C2/m, No. 12",
  "e_form_ev_per_atom": -0.332
}

***

(4)
{
  "formula": "KBaRu",
  "functional": "PBE",
  "state": "relaxed",
  "lattice": [[3.782, 0.000, 0.000], [-1.891, 3.275, 0.000], [0.000, 0.000, 8.664]],
  "species": ["K", "Ba", "Ru"],
  "frac_coords": [[0.000, 0.000, 0.000], [0.333, 0.667, 0.511], [0.667, 0.333, 0.280]],
  "e_above_lowest_polymorph_mev_per_atom": 119,
  "dos_at_fermi_per_ev_cell": 2.2,
  "rho_g_cm3": 4.29,
  "spacegroup": "P3m1, No. 156",
  "e_form_ev_per_atom": 0.958
}

***

(5)
{
  "formula": "Ba2CaCeGd2Ti2Cu2O14",
  "functional": "PBE",
  "state": "relaxed",
  "lattice": [[3.907, 0.000, 0.000], [0.000, 3.907, 0.000], [0.000, 0.000, 20.833]],
  "species": ["Ba", "Ba", "Ca", "Ce", "Gd", "Gd", "Ti", "Ti", "Cu", "Cu", "O", "O", "O", "O", "O", "O", "O", "O", "O", "O", "O", "O", "O", "O"],
  "frac_coords": [[0.000, 0.000, 0.000], [0.500, 0.500, 0.488], [0.000, 0.000, 0.812], [0.500, 0.500, 0.305], [0.000, 0.000, 0.182], [0.500, 0.500, 0.687], [0.000, 0.000, 0.602], [0.500, 0.500, 0.893], [0.000, 0.000, 0.390], [0.500, 0.500, 0.099], [0.000, 0.000, 0.512], [0.000, 0.000, 0.702], [0.000, 0.500, 0.109], [0.000, 0.500, 0.248], [0.000, 0.500, 0.383], [0.000, 0.500, 0.611], [0.000, 0.500, 0.885], [0.500, 0.000, 0.109], [0.500, 0.000, 0.248], [0.500, 0.000, 0.383], [0.500, 0.000, 0.611], [0.500, 0.000, 0.885], [0.500, 0.500, 0.789], [0.500, 0.500, 0.983]],
  "raw_formation_energy_kj_per_mol_atoms": -265.7,
  "dos_at_fermi_per_ev_cell": 1.6,
  "rho_g_cm3": 6.35,
  "spacegroup": "P4mm, No. 99"
}